Entry 1:
A plane-wave DFT calculation with GGA-PBE was carried out for a geometry-optimized Pr2MgTl6 structure. Values from VASP.

## Properties
DOS(E_F) = 4.8 states/eV per cell
Space-group type = C2/m, No. 12
Mass density = 9.53 g/cm3
Energy of formation = -124 meV per atom

The structure in Quantum ESPRESSO input format:
```
&SYSTEM
  ibrav = 0, nat = 9, ntyp = 3
/
ATOMIC_SPECIES
Mg 24.30 Mg.upf
Tl 204.38 Tl.upf
Pr 140.91 Pr.upf
CELL_PARAMETERS angstrom
0.1155 3.2359 -1.7010
-6.9135 2.6389 4.5508
8.5382 1.6426 3.7266
ATOMIC_POSITIONS angstrom
Mg 0.0000 0.0000 0.0000
Tl 5.6940 1.1979 2.6731
Pr 3.2040 3.4538 2.8647
Pr -1.4638 4.0636 3.7117
Tl 0.4505 4.6383 1.0042
Tl -3.9538 6.3195 3.9033
Tl 1.2897 2.8791 5.5722
Tl -4.6973 3.4330 2.2795
Tl -2.1007 2.4418 0.5703
```

Entry 2:
A plane-wave DFT calculation with GGA-PBE was carried out for a geometry-optimized InFeRu structure. Values from VASP.

## Properties
DOS(E_F) = 2.8 states/eV per cell
Space-group type = I4mm, No. 107
Mass density = 9.64 g/cm3
Energy of formation = 153 meV per atom

The structure in Quantum ESPRESSO input format:
```
&SYSTEM
  ibrav = 0, nat = 3, ntyp = 3
/
ATOMIC_SPECIES
Fe 55.84 Fe.upf
Ru 101.07 Ru.upf
In 114.82 In.upf
CELL_PARAMETERS angstrom
-1.1253 4.3956 2.6665
-3.1912 4.1722 0.3254
-2.2520 -0.7087 2.0554
ATOMIC_POSITIONS angstrom
Fe -2.2834 -0.5677 2.0696
Ru -3.5927 5.3154 2.6635
In -2.9445 2.4027 2.3695
```

Entry 3:
A plane-wave DFT calculation with GGA-PBE was carried out for a geometry-optimized TlIn2Ga structure. Values from VASP.

## Properties
DOS(E_F) = 4.0 states/eV per cell
Space-group type = I-42d, No. 122
Offset from the most stable computed form = 63 meV/atom
Mass density = 7.63 g/cm3
Energy of formation = 91 meV per atom

The structure in Quantum ESPRESSO input format:
```
&SYSTEM
  ibrav = 0, nat = 8, ntyp = 3
/
ATOMIC_SPECIES
Ga 69.72 Ga.upf
In 114.82 In.upf
Tl 204.38 Tl.upf
CELL_PARAMETERS angstrom
8.4488 0.0000 0.0000
0.0000 8.4488 0.0000
4.2244 4.2244 3.0725
ATOMIC_POSITIONS angstrom
Ga 4.2244 4.2244 0.0000
In 6.3366 6.6923 2.3044
Tl 8.4488 4.2244 1.5363
In 2.4679 6.3366 0.7681
In 10.5610 10.2053 2.3044
In 5.9809 2.1122 0.7681
Tl 0.0000 0.0000 0.0000
Ga 4.2244 8.4488 1.5363
```

Entry 4:
A plane-wave DFT calculation with GGA-PBE was carried out for a geometry-optimized Ti3Al2Ga3 structure. Values from VASP.

## Properties
DOS(E_F) = 6.1 states/eV per cell
Space-group type = Pmmm, No. 47
Mass density = 5.32 g/cm3
Energy of formation = -423 meV per atom

The structure in Quantum ESPRESSO input format:
```
&SYSTEM
  ibrav = 0, nat = 8, ntyp = 3
/
ATOMIC_SPECIES
Ga 69.72 Ga.upf
Ti 47.87 Ti.upf
Al 26.98 Al.upf
CELL_PARAMETERS angstrom
4.0336 0.0000 0.0000
0.0000 3.8885 0.0000
0.0000 0.0000 8.0884
ATOMIC_POSITIONS angstrom
Ga 2.0168 0.0000 4.0442
Ti 2.0168 1.9442 2.1623
Al 0.0000 0.0000 1.9279
Al 0.0000 0.0000 6.1605
Ti 2.0168 0.0000 0.0000
Ga 0.0000 1.9442 0.0000
Ga 0.0000 1.9442 4.0442
Ti 2.0168 1.9442 5.9261
```

Entry 5:
A plane-wave DFT calculation with GGA-PBE was carried out for a geometry-optimized V2MoPd5 structure. Values from VASP.

## Properties
DOS(E_F) = 14.2 states/eV per cell
Space-group type = Pbam, No. 55
Mass density = 10.24 g/cm3
Energy of formation = -163 meV per atom

The structure in Quantum ESPRESSO input format:
```
&SYSTEM
  ibrav = 0, nat = 16, ntyp = 3
/
ATOMIC_SPECIES
V 50.94 V.upf
Pd 106.42 Pd.upf
Mo 95.94 Mo.upf
CELL_PARAMETERS angstrom
3.8303 0.0000 0.0000
0.0000 5.5612 0.0000
0.0000 0.0000 11.1127
ATOMIC_POSITIONS angstrom
V 1.9151 1.2836 4.2396
Pd 0.0000 0.0692 8.3345
Pd 1.9151 4.1974 9.7307
Pd 0.0000 0.0000 0.0000
Pd 0.0000 5.4919 2.7782
Mo 0.0000 2.7806 0.0000
Pd 1.9151 1.4169 6.9384
V 1.9151 4.2776 6.8732
V 1.9151 4.0642 1.3168
Pd 1.9151 4.1443 4.1744
Pd 0.0000 2.8498 8.3346
Mo 0.0000 0.0000 5.5564
V 1.9151 1.4970 9.7959
Pd 1.9151 1.3637 1.3820
Pd 0.0000 2.7114 2.7781
Pd 0.0000 2.7806 5.5564
```

Entry 6:
A plane-wave DFT calculation with GGA-PBE was carried out for a geometry-optimized ZrNb3Te6 structure. Values from VASP.

## Properties
DOS(E_F) = 9.4 states/eV per cell
Space-group type = P2_1/m, No. 11
E_form (uncorrected) = -0.3899 eV per atom
Mass density = 7.51 g/cm3

The structure in Quantum ESPRESSO input format:
```
&SYSTEM
  ibrav = 0, nat = 20, ntyp = 3
/
ATOMIC_SPECIES
Te 127.60 Te.upf
Nb 92.91 Nb.upf
Zr 91.22 Zr.upf
CELL_PARAMETERS angstrom
-2.1181 2.5899 1.7796
0.5534 -6.2287 9.7237
9.2819 7.9765 -0.5608
ATOMIC_POSITIONS angstrom
Te -0.6811 0.2673 4.8527
Te -0.0979 -2.7540 9.9439
Te 7.8151 7.0916 0.9986
Nb 0.8034 -1.8666 5.6903
Te 1.8467 1.5338 1.9833
Zr 2.7874 -2.7746 9.3732
Te 3.2974 0.5187 5.1873
Te 1.4415 -0.2618 8.1492
Te 4.4198 3.8189 5.7552
Te 6.2758 4.5994 2.7934
Te 8.3984 4.0703 6.0899
Nb 6.9138 6.2042 5.2522
Te 4.8531 -0.6617 8.7569
Nb 4.1408 2.5815 3.1891
Te 5.8706 2.8038 8.9593
Zr 4.9299 7.1122 1.5694
Nb 3.5765 1.7561 7.7534
Te 2.8642 4.9993 2.1856
Nb 8.7114 2.5930 8.6124
Nb -0.9941 1.7446 2.3301
```

Entry 7:
A plane-wave DFT calculation with GGA-PBE was carried out for a geometry-optimized Na5TlO structure. Values from VASP.

## Properties
DOS(E_F) = 8.0 states/eV per cell
Space-group type = C2/c, No. 15
E_form (uncorrected) = -0.4891 eV per atom
Mass density = 2.93 g/cm3

The structure in Quantum ESPRESSO input format:
```
&SYSTEM
  ibrav = 0, nat = 14, ntyp = 3
/
ATOMIC_SPECIES
Na 22.99 Na.upf
O 16.00 O.upf
Tl 204.38 Tl.upf
CELL_PARAMETERS angstrom
6.8015 1.2488 1.4393
1.9506 6.6344 1.4393
1.0994 0.9902 9.2779
ATOMIC_POSITIONS angstrom
Na 4.5514 1.4468 1.6878
Na 1.9303 4.3740 1.6775
Na 5.1010 1.9592 6.3164
Na 7.3887 4.0024 5.8298
Na 5.3001 7.4266 10.4687
Na 2.4628 4.8710 6.3267
Na 4.7505 6.9142 5.8401
O 0.0000 0.0000 0.0000
Tl 4.6486 4.1916 3.7588
Na 2.2299 6.8770 3.7588
Na 7.6216 1.9964 8.3977
O 0.5497 0.4951 4.6389
Na 7.9212 4.4993 10.4791
Tl 5.2029 4.6817 8.3977
```

Entry 8:
A plane-wave DFT calculation with GGA-PBE was carried out for a geometry-optimized K2TlNi structure. Values from VASP.

## Properties
DOS(E_F) = 2.0 states/eV per cell
Space-group type = P4mm, No. 99
Offset from the most stable computed form = 56 meV/atom
Mass density = 3.95 g/cm3
Energy of formation = 225 meV per atom

The structure in Quantum ESPRESSO input format:
```
&SYSTEM
  ibrav = 0, nat = 4, ntyp = 3
/
ATOMIC_SPECIES
Tl 204.38 Tl.upf
K 39.10 K.upf
Ni 58.69 Ni.upf
CELL_PARAMETERS angstrom
3.7384 0.0000 0.0000
0.0000 3.7384 0.0000
0.0000 0.0000 10.2535
ATOMIC_POSITIONS angstrom
Tl 1.8692 1.8692 6.6196
K 0.0000 0.0000 9.4468
Ni 0.0000 0.0000 6.2667
K 1.8692 1.8692 3.3006
```

Entry 9:
A plane-wave DFT calculation with GGA-PBE was carried out for a geometry-optimized Ac4ZnAu3 structure. Values from VASP.

## Properties
DOS(E_F) = 6.1 states/eV per cell
Space-group type = Pmm2, No. 25
Mass density = 10.51 g/cm3
Energy of formation = -669 meV per atom

The structure in Quantum ESPRESSO input format:
```
&SYSTEM
  ibrav = 0, nat = 8, ntyp = 3
/
ATOMIC_SPECIES
Ac 227.00 Ac.upf
Au 196.97 Au.upf
Zn 65.41 Zn.upf
CELL_PARAMETERS angstrom
4.1886 0.0000 0.0000
0.0000 4.9563 0.0000
0.0000 0.0000 11.9089
ATOMIC_POSITIONS angstrom
Ac 2.0943 0.0000 7.5693
Au 0.0000 0.0000 4.9426
Zn 2.0943 2.4781 0.9374
Au 0.0000 2.4781 6.9952
Ac 0.0000 0.0000 1.6395
Ac 2.0943 2.4781 4.3389
Ac 0.0000 2.4781 10.2627
Au 2.0943 0.0000 10.9501
```

Entry 10:
A plane-wave DFT calculation with GGA-PBE was carried out for a geometry-optimized KMg3Br structure. Values from VASP.

## Properties
DOS(E_F) = 4.2 states/eV per cell
Space-group type = Pm-3m, No. 221
E_form (uncorrected) = 0.2074 eV per atom
Offset from the most stable computed form = 0 meV/atom
Mass density = 1.58 g/cm3

The structure in Quantum ESPRESSO input format:
```
&SYSTEM
  ibrav = 0, nat = 5, ntyp = 3
/
ATOMIC_SPECIES
Mg 24.30 Mg.upf
Br 79.90 Br.upf
K 39.10 K.upf
CELL_PARAMETERS angstrom
5.8671 0.0000 0.0000
0.0000 5.8671 0.0000
0.0000 0.0000 5.8671
ATOMIC_POSITIONS angstrom
Mg 0.0000 0.0000 2.9335
Br 0.0000 0.0000 0.0000
K 2.9335 2.9335 2.9335
Mg 0.0000 2.9335 0.0000
Mg 2.9335 0.0000 0.0000
```

Entry 11:
A plane-wave DFT calculation with GGA-PBE was carried out for a geometry-optimized Dy8Te3As3C structure. Values from VASP.

## Properties
DOS(E_F) = 10.1 states/eV per cell
Space-group type = R-3m, No. 166
E_form (uncorrected) = -1.1896 eV per atom
Mass density = 7.67 g/cm3

The structure in Quantum ESPRESSO input format:
```
&SYSTEM
  ibrav = 0, nat = 15, ntyp = 4
/
ATOMIC_SPECIES
Dy 162.50 Dy.upf
Te 127.60 Te.upf
C 12.01 C.upf
As 74.92 As.upf
CELL_PARAMETERS angstrom
-3.2620 -1.1817 7.4526
-1.5607 -5.3269 -6.0616
7.8148 0.1331 3.4416
ATOMIC_POSITIONS angstrom
Dy -1.0907 -3.9456 3.4308
Te -2.4113 -3.2543 0.6955
Dy 2.4318 -3.3128 5.0730
Dy 1.3944 -6.0562 2.1758
C 3.9074 0.0665 1.7208
Te -0.7804 -2.6635 -3.0308
Dy 3.2116 -5.3979 -1.9759
As 3.1270 -2.5969 -1.3100
As 2.2764 -0.5243 5.4471
Dy 1.5977 -0.3193 2.6568
As 1.4960 -3.1877 2.4163
Te 0.0000 0.0000 0.0000
Dy 0.5603 -3.0627 -0.2404
Dy 4.0828 -2.4299 1.4018
Dy -0.2195 -0.9776 6.8085
```